Record 1
VASP calculation (PBE) on crystalline Ca3MgCd at its relaxed geometry.

Structure (POSCAR):
```
Ca3MgCd
1.0
7.869 0.000 0.000
0.000 7.869 0.000
0.000 0.000 7.869
Ca Mg Cd
9 3 3
Cartesian
3.934 3.934 3.934
6.018 6.018 6.018
1.851 1.851 6.018
1.851 6.018 1.851
6.018 6.018 1.851
1.851 1.851 1.851
6.018 1.851 1.851
1.851 6.018 6.018
6.018 1.851 6.018
3.934 0.000 3.934
3.934 3.934 0.000
0.000 3.934 3.934
0.000 0.000 3.934
3.934 0.000 0.000
0.000 3.934 0.000
```

Values from the calculation:
- ΔE_f: -0.14 eV per atom
- Space-group type: Pm-3m (221)
- M_tot: 0.00 μB/cell
- Relative energy among the computed polymorphs: 0.18 eV/f.u.


Record 2
VASP calculation (PBE) on crystalline BeGeSeBr2 at its relaxed geometry.

Structure (POSCAR):
```
BeGeSeBr2
1.0
5.186 0.000 0.000
0.000 5.192 0.000
0.000 0.000 5.186
Be Br Se Ge
1 2 1 1
Cartesian
2.593 2.596 2.593
2.593 0.000 0.000
0.000 0.000 2.593
0.000 2.596 0.000
0.000 0.000 0.000
```

Values from the calculation:
- Energy relative to the elements, uncorrected: 0.52 eV/atom
- Space-group type: P4/mmm (123)
- M_tot: 0.00 μB/cell
- Relative energy among the computed polymorphs: 2.75 eV/f.u.